(1)
This record from Alexandria describes a relaxed structure of Co3C. The functional is PBE.

Output
calculated formation energy = 0.55 eV per atom
DFT total energy = -7.0867 eV per atom

Lattice parameters (Å, degrees): 3.689 3.689 3.689 90.00 90.00 90.00
Element x y z (fractional)
Co 0.000 0.500 0.000
Co 0.500 0.000 0.000
Co 0.000 0.000 0.500
C 0.000 0.000 0.000

---

(2)
This record from Alexandria describes a relaxed structure of Co5C3. The functional is PBE.

Output
E above lowest polymorph = 30 meV/atom
calculated formation energy = 0.46 eV per atom
DFT total energy = -7.4424 eV per atom

Lattice parameters (Å, degrees): 5.610 5.610 5.001 90.00 90.00 120.00
Element x y z (fractional)
Co 0.743 0.000 0.750
Co 0.000 0.257 0.250
Co 0.667 0.333 0.000
Co 0.743 0.743 0.250
Co 0.257 0.000 0.250
Co 0.667 0.333 0.500
Co 0.333 0.667 0.000
Co 0.000 0.743 0.750
Co 0.257 0.257 0.750
Co 0.333 0.667 0.500
C 0.397 0.000 0.750
C 0.603 0.603 0.750
C 0.603 0.000 0.250
C 0.000 0.397 0.750
C 0.000 0.603 0.250
C 0.397 0.397 0.250

---

Calculated N(E_F) in order - 1.20; 0.71 states/eV/atom